1.
The following is a DFT calculation (PBE) of crystalline BaInI2 at its relaxed geometry.

Properties
The volume comes out at 49.623 A^3/atom. Its calculated total energy is -44.2 eV per cell. The value obtained for the density is 4.23 g cm⁻³. The calculation puts the magnetic moment at 0.000 μB per atom. Its energy above the most stable polymorph in this dataset is 117 meV per atom. As for the formation energy (no corrections): -0.82 eV/atom.

```
data_BaInI2
_cell_length_a 6.0470
_cell_length_b 6.0470
_cell_length_c 21.7133
_cell_angle_alpha 90.00
_cell_angle_beta 90.00
_cell_angle_gamma 90.00
_symmetry_space_group_name_H-M 'I -4 2 d'
_symmetry_Int_Tables_number 122
_symmetry_space_group_name_Hall 'I -4 2bw'
loop_
_atom_site_label
_atom_site_type_symbol
_atom_site_fract_x
_atom_site_fract_y
_atom_site_fract_z
Ba1 Ba 0.0000 0.0000 0.0000
In1 In 0.0000 0.0000 0.5000
I1 I 0.2477 0.2500 0.1250
```


2.
The following is a DFT calculation (PBE) of crystalline BaIn3I12 at its relaxed geometry.

Properties
The volume comes out at 57.125 A^3/atom. Its calculated total energy is -235.9 eV per cell. The value obtained for the density is 3.64 g cm⁻³. The calculation puts the magnetic moment at 0.000 μB per atom. As for the formation energy (no corrections): -0.66 eV/atom.

```
data_BaIn3I12
_cell_length_a 12.4399
_cell_length_b 12.4399
_cell_length_c 40.9196
_cell_angle_alpha 90.00
_cell_angle_beta 90.00
_cell_angle_gamma 120.00
_symmetry_space_group_name_H-M 'R 3 c'
_symmetry_Int_Tables_number 161
_symmetry_space_group_name_Hall 'R 3 -2"c'
loop_
_atom_site_label
_atom_site_type_symbol
_atom_site_fract_x
_atom_site_fract_y
_atom_site_fract_z
Ba1 Ba 0.0000 0.0000 0.0000
In1 In 0.0184 0.3150 0.1107
I1 I 0.0131 0.4812 0.8354
I2 I 0.0900 0.5430 0.2285
I3 I 0.0974 0.2223 0.9324
I4 I 0.0990 0.2262 0.2784
```


3.
The following is a DFT calculation (PBE) of crystalline KBa2InI6 at its relaxed geometry.

Properties
The volume comes out at 53.608 A^3/atom. Its calculated total energy is -94.1 eV per cell. The value obtained for the density is 3.69 g cm⁻³. The calculation puts the magnetic moment at 0.000 μB per atom. As for the formation energy (no corrections): -1.44 eV/atom.

```
data_KBa2InI6
_cell_length_a 8.9088
_cell_length_b 8.9088
_cell_length_c 23.3978
_cell_angle_alpha 90.00
_cell_angle_beta 90.00
_cell_angle_gamma 120.00
_symmetry_space_group_name_H-M 'R 3'
_symmetry_Int_Tables_number 146
_symmetry_space_group_name_Hall 'R 3'
loop_
_atom_site_label
_atom_site_type_symbol
_atom_site_fract_x
_atom_site_fract_y
_atom_site_fract_z
K1 K 0.0000 0.0000 0.0000
Ba1 Ba 0.0000 0.0000 0.2966
Ba2 Ba 0.0000 0.0000 0.7977
In1 In 0.0000 0.0000 0.4969
I1 I 0.0122 0.3012 0.3961
I2 I 0.0125 0.7072 0.8943
```


4.
The following is a DFT calculation (PBE) of crystalline Ba2LiInI6 at its relaxed geometry.

Properties
The volume comes out at 47.363 A^3/atom. Its calculated total energy is -94.2 eV per cell. The value obtained for the density is 4.06 g cm⁻³. The calculation puts the magnetic moment at 0.000 μB per atom. As for the formation energy (no corrections): -1.36 eV/atom.

```
data_Ba2LiInI6
_cell_length_a 8.4922
_cell_length_b 8.4922
_cell_length_c 22.7494
_cell_angle_alpha 90.00
_cell_angle_beta 90.00
_cell_angle_gamma 120.00
_symmetry_space_group_name_H-M 'R 3'
_symmetry_Int_Tables_number 146
_symmetry_space_group_name_Hall 'R 3'
loop_
_atom_site_label
_atom_site_type_symbol
_atom_site_fract_x
_atom_site_fract_y
_atom_site_fract_z
Ba1 Ba 0.0000 0.0000 0.0000
Ba2 Ba 0.0000 0.0000 0.4928
Li1 Li 0.0000 0.0000 0.6886
In1 In 0.0000 0.0000 0.1947
I1 I 0.0138 0.3775 0.4280
I2 I 0.0538 0.6838 0.2701
```


5.
The following is a DFT calculation (PBE) of crystalline BaMg2InI at its relaxed geometry.

Properties
The volume comes out at 47.104 A^3/atom. Its calculated total energy is -10.0 eV per cell. The value obtained for the density is 3.02 g cm⁻³. The calculation puts the magnetic moment at 0.000 μB per atom. As for the formation energy (no corrections): -0.11 eV/atom.

```
data_BaMg2InI
_cell_length_a 5.3931
_cell_length_b 5.3931
_cell_length_c 8.0977
_cell_angle_alpha 90.00
_cell_angle_beta 90.00
_cell_angle_gamma 90.00
_symmetry_space_group_name_H-M 'P 4/m m m'
_symmetry_Int_Tables_number 123
_symmetry_space_group_name_Hall '-P 4 2'
loop_
_atom_site_label
_atom_site_type_symbol
_atom_site_fract_x
_atom_site_fract_y
_atom_site_fract_z
Ba1 Ba 0.0000 0.0000 0.0000
Mg1 Mg 0.0000 0.5000 0.5000
In1 In 0.5000 0.5000 0.5000
I1 I 0.5000 0.5000 0.0000
```


6.
The following is a DFT calculation (PBE) of crystalline BaMn2InI8 at its relaxed geometry.

Properties
The volume comes out at 42.636 A^3/atom. Its calculated total energy is -43.7 eV per cell. The value obtained for the density is 4.47 g cm⁻³. The calculation puts the magnetic moment at 0.749 μB per atom. As for the formation energy (no corrections): -0.69 eV/atom.

```
data_BaMn2InI8
_cell_length_a 7.5114
_cell_length_b 7.5114
_cell_length_c 10.4708
_cell_angle_alpha 90.00
_cell_angle_beta 90.00
_cell_angle_gamma 120.00
_symmetry_space_group_name_H-M 'P -3'
_symmetry_Int_Tables_number 147
loop_
_symmetry_equiv_pos_as_xyz
'x,y,z'
'-x,-y,-z'
'-y,x-y,z'
'y,-x+y,-z'
'-x+y,-x,z'
'x-y,x,-z'
loop_
_atom_site_label
_atom_site_type_symbol
_atom_site_fract_x
_atom_site_fract_y
_atom_site_fract_z
Ba1 Ba 0.0000 0.0000 0.0000
Mn1 Mn 0.3333 0.6667 0.7554
In1 In 0.0000 0.0000 0.5000
I1 I 0.0049 0.6878 0.3025
I2 I 0.3333 0.6667 0.0077
```


7.
The following is a DFT calculation (PBE) of crystalline BaInMoI2 at its relaxed geometry.

Properties
The volume comes out at 43.532 A^3/atom. Its calculated total energy is -17.0 eV per cell. The value obtained for the density is 4.59 g cm⁻³. The calculation puts the magnetic moment at 0.970 μB per atom. As for the formation energy (no corrections): 0.32 eV/atom.

```
data_BaInMoI2
_cell_length_a 6.2491
_cell_length_b 6.2491
_cell_length_c 5.5737
_cell_angle_alpha 90.00
_cell_angle_beta 90.00
_cell_angle_gamma 90.00
_symmetry_space_group_name_H-M 'P 4/m m m'
_symmetry_Int_Tables_number 123
_symmetry_space_group_name_Hall '-P 4 2'
loop_
_atom_site_label
_atom_site_type_symbol
_atom_site_fract_x
_atom_site_fract_y
_atom_site_fract_z
Ba1 Ba 0.0000 0.0000 0.0000
In1 In 0.5000 0.5000 0.5000
Mo1 Mo 0.5000 0.5000 0.0000
I1 I 0.0000 0.5000 0.5000
```


8.
The following is a DFT calculation (PBE) of crystalline BaInI2N at its relaxed geometry.

Properties
The volume comes out at 48.357 A^3/atom. Its calculated total energy is -16.3 eV per cell. The value obtained for the density is 3.57 g cm⁻³. The calculation puts the magnetic moment at 0.400 μB per atom. Its energy above the most stable polymorph in this dataset is 141 meV per atom. As for the formation energy (no corrections): -0.04 eV/atom.

```
data_BaInI2N
_cell_length_a 6.8241
_cell_length_b 6.8241
_cell_length_c 5.1921
_cell_angle_alpha 90.00
_cell_angle_beta 90.00
_cell_angle_gamma 90.00
_symmetry_space_group_name_H-M 'P 4/m m m'
_symmetry_Int_Tables_number 123
_symmetry_space_group_name_Hall '-P 4 2'
loop_
_atom_site_label
_atom_site_type_symbol
_atom_site_fract_x
_atom_site_fract_y
_atom_site_fract_z
Ba1 Ba 0.0000 0.0000 0.0000
In1 In 0.5000 0.5000 0.5000
I1 I 0.0000 0.5000 0.0000
N1 N 0.0000 0.0000 0.5000
```


9.
The following is a DFT calculation (PBE) of crystalline BaInI2N at its relaxed geometry.

Properties
The volume comes out at 32.044 A^3/atom. Its calculated total energy is -17.0 eV per cell. The value obtained for the density is 5.39 g cm⁻³. The calculation puts the magnetic moment at 0.070 μB per atom. Its energy above the most stable polymorph in this dataset is 0 meV per atom. As for the formation energy (no corrections): -0.18 eV/atom.

```
data_BaInI2N
_cell_length_a 5.9611
_cell_length_b 5.9611
_cell_length_c 4.5088
_cell_angle_alpha 90.00
_cell_angle_beta 90.00
_cell_angle_gamma 90.00
_symmetry_space_group_name_H-M 'P 4/m m m'
_symmetry_Int_Tables_number 123
_symmetry_space_group_name_Hall '-P 4 2'
loop_
_atom_site_label
_atom_site_type_symbol
_atom_site_fract_x
_atom_site_fract_y
_atom_site_fract_z
Ba1 Ba 0.0000 0.0000 0.0000
In1 In 0.5000 0.5000 0.5000
I1 I 0.0000 0.5000 0.5000
N1 N 0.5000 0.5000 0.0000
```


10.
The following is a DFT calculation (PBE) of crystalline BaNdInI6 at its relaxed geometry.

Properties
The volume comes out at 50.814 A^3/atom. Its calculated total energy is -60.8 eV per cell. The value obtained for the density is 4.20 g cm⁻³. The calculation puts the magnetic moment at 0.000 μB per atom. As for the formation energy (no corrections): -1.30 eV/atom.

```
data_BaNdInI6
_cell_length_a 8.4780
_cell_length_b 8.4780
_cell_length_c 14.6939
_cell_angle_alpha 90.00
_cell_angle_beta 90.00
_cell_angle_gamma 120.00
_symmetry_space_group_name_H-M 'P -3 1 c'
_symmetry_Int_Tables_number 163
_symmetry_space_group_name_Hall '-P 3 2c'
loop_
_atom_site_label
_atom_site_type_symbol
_atom_site_fract_x
_atom_site_fract_y
_atom_site_fract_z
Ba1 Ba 0.0000 0.0000 0.0000
Nd1 Nd 0.3333 0.6667 0.2500
In1 In 0.3333 0.6667 0.7500
I1 I 0.0305 0.3632 0.1274
```


11.
The following is a DFT calculation (PBE) of crystalline Ba2InNiI at its relaxed geometry.

Properties
The volume comes out at 37.443 A^3/atom. Its calculated total energy is -16.9 eV per cell. The value obtained for the density is 5.10 g cm⁻³. The calculation puts the magnetic moment at 0.000 μB per atom. As for the formation energy (no corrections): -0.59 eV/atom.

```
data_Ba2InNiI
_cell_length_a 6.1782
_cell_length_b 6.1782
_cell_length_c 4.9047
_cell_angle_alpha 90.00
_cell_angle_beta 90.00
_cell_angle_gamma 90.00
_symmetry_space_group_name_H-M 'P 4/m m m'
_symmetry_Int_Tables_number 123
_symmetry_space_group_name_Hall '-P 4 2'
loop_
_atom_site_label
_atom_site_type_symbol
_atom_site_fract_x
_atom_site_fract_y
_atom_site_fract_z
Ba1 Ba 0.0000 0.5000 0.0000
In1 In 0.0000 0.0000 0.5000
Ni1 Ni 0.0000 0.0000 0.0000
I1 I 0.5000 0.5000 0.5000
```